Record 1
A plane-wave DFT calculation with GGA-PBE was carried out for crystalline AlCrCo2C at its relaxed geometry.

a = 3.7788 Å, b = 3.7788 Å, c = 3.8212 Å
α = 90.00°, β = 90.00°, γ = 90.00°
Last column: nearest neighbours and their distance in Å.
Positions (direct):
Al 0.0000 0.0000 0.0000  4 Cr 2.67, 8 Co 2.69
Cr 0.5000 0.5000 0.0000  2 C 1.91
Co 0.0000 0.5000 0.5000  2 C 1.89
Co 0.5000 0.0000 0.5000  2 C 1.89
C 0.5000 0.5000 0.5000  4 Co 1.89, 2 Cr 1.91

Summary:
Magnetic moment   0.58 μB per atom
Fermi-level density of states   3.759 states/eV/f.u.
ΔH_f (0 K)   -0.159 eV/atom

***

Record 2
A plane-wave DFT calculation with GGA-PBE was carried out for crystalline LiY2SnO at its relaxed geometry.

a = 4.7561 Å, b = 4.7561 Å, c = 4.3463 Å
α = 90.00°, β = 90.00°, γ = 90.00°
Last column: nearest neighbours and their distance in Å.
Positions (direct):
Li 0.0000 0.0000 0.0000  2 O 2.17
Y 0.0000 0.5000 0.5000  2 O 2.38
Y 0.5000 0.0000 0.5000  2 O 2.38
Sn 0.5000 0.5000 0.0000  8 Y 3.22, 4 Li 3.36
O 0.0000 0.0000 0.5000  2 Li 2.17, 4 Y 2.38

Summary:
Raw formation energy   -1554 meV per atom
Magnetic moment   0.00 μB per atom
Fermi-level density of states   1.915 states/eV/f.u.

***

Record 3
A plane-wave DFT calculation with GGA-PBE was carried out for crystalline Ta2BeNi at its relaxed geometry.

a = 5.4531 Å, b = 5.4531 Å, c = 5.4531 Å
α = 103.26°, β = 103.26°, γ = 122.77°
Last column: nearest neighbours and their distance in Å.
Positions (direct):
Ta 0.1195 0.6250 0.9945  2 Ni 2.46, 2 Be 2.51, 2 Ta 2.61
Ta 0.3750 0.3695 0.4945  2 Ni 2.46, 2 Be 2.51, 2 Ta 2.61
Ta 0.6305 0.1250 0.0055  2 Ni 2.46, 2 Be 2.51, 2 Ta 2.61
Ta 0.8750 0.8805 0.5055  2 Ni 2.46, 2 Be 2.51, 2 Ta 2.61
Be 0.2500 0.7500 0.5000  4 Ta 2.51, 2 Ni 2.61
Be 0.5000 0.5000 0.0000  4 Ta 2.51, 2 Ni 2.61
Ni 0.0000 0.0000 0.0000  4 Ta 2.46, 2 Be 2.61
Ni 0.7500 0.2500 0.5000  4 Ta 2.46, 2 Be 2.61

Summary:
Magnetic moment   0.00 μB per atom
Fermi-level density of states   3.695 states/eV/f.u.
ΔH_f (0 K)   0.425 eV/atom

***

Record 4
A plane-wave DFT calculation with GGA-PBE was carried out for crystalline Mg2Sn2Os at its relaxed geometry.

a = 7.0210 Å, b = 7.0210 Å, c = 4.3054 Å
α = 90.00°, β = 90.00°, γ = 90.00°
Last column: nearest neighbours and their distance in Å.
Positions (direct):
Mg 0.1688 0.3312 0.0000  6 Sn 2.84-3.08
Mg 0.3312 0.8312 0.0000  6 Sn 2.84-3.08
Mg 0.6688 0.1688 0.0000  6 Sn 2.84-3.08
Mg 0.8312 0.6688 0.0000  6 Sn 2.84-3.08
Sn 0.1447 0.6447 0.5000  2 Os 2.69, 2 Mg 2.84, 1 Sn 2.87
Sn 0.3553 0.1447 0.5000  2 Os 2.69, 2 Mg 2.84, 1 Sn 2.87
Sn 0.6447 0.8553 0.5000  2 Os 2.69, 2 Mg 2.84, 1 Sn 2.87
Sn 0.8553 0.3553 0.5000  2 Os 2.69, 2 Mg 2.84, 1 Sn 2.87
Os 0.0000 0.0000 0.5000  4 Sn 2.69
Os 0.5000 0.5000 0.5000  4 Sn 2.69

Summary:
Magnetic moment   0.07 μB per atom
Fermi-level density of states   2.136 states/eV/f.u.
ΔH_f (0 K)   0.196 eV/atom

***

Record 5
A plane-wave DFT calculation with GGA-PBE was carried out for crystalline Er6Cu5Ru at its relaxed geometry.

a = 7.6780 Å, b = 7.6780 Å, c = 6.8293 Å
α = 90.00°, β = 90.00°, γ = 143.15°
Last column: nearest neighbours and their distance in Å.
Positions (direct):
Er 0.0000 0.0000 0.2439  2 Ru 2.94, 6 Cu 2.95-2.99
Er 0.0000 0.0000 0.7561  2 Ru 2.94, 6 Cu 2.95-2.99
Er 0.3357 0.6643 0.2468  1 Ru 2.93, 7 Cu 2.95-3.04
Er 0.3357 0.6643 0.7532  1 Ru 2.93, 7 Cu 2.95-3.04
Er 0.6643 0.3357 0.2468  1 Ru 2.93, 7 Cu 2.95-3.04
Er 0.6643 0.3357 0.7532  1 Ru 2.93, 7 Cu 2.95-3.04
Cu 0.1645 0.8355 0.5000  8 Er 2.97-3.04
Cu 0.1668 0.8332 0.0000  8 Er 2.95-2.98
Cu 0.5000 0.5000 0.5000  8 Er 2.95-2.99
Cu 0.8332 0.1668 0.0000  8 Er 2.95-2.98
Cu 0.8355 0.1645 0.5000  8 Er 2.97-3.04
Ru 0.5000 0.5000 0.0000  8 Er 2.93-2.94

Summary:
Magnetic moment   0.00 μB per atom
Fermi-level density of states   7.734 states/eV/f.u.
ΔH_f (0 K)   -0.314 eV/atom

***

Record 6
A plane-wave DFT calculation with GGA-PBE was carried out for crystalline ErAg4Hg4 at its relaxed geometry.

a = 7.0720 Å, b = 7.0720 Å, c = 7.0720 Å
α = 95.01°, β = 95.01°, γ = 145.62°
Last column: nearest neighbours and their distance in Å.
Positions (direct):
Er 0.0000 0.0000 0.0000  8 Hg 3.11, 4 Ag 3.29
Ag 0.0000 0.3448 0.3448  5 Ag 2.96-2.97, 6 Hg 3.13-3.15, 1 Er 3.29
Ag 0.0000 0.6552 0.6552  5 Ag 2.96-2.97, 6 Hg 3.13-3.15, 1 Er 3.29
Ag 0.3448 0.0000 0.3448  5 Ag 2.96-2.97, 6 Hg 3.13-3.15, 1 Er 3.29
Ag 0.6552 0.0000 0.6552  5 Ag 2.96-2.97, 6 Hg 3.13-3.15, 1 Er 3.29
Hg 0.3298 0.3298 0.6597  4 Hg 3.00-3.25, 2 Er 3.11, 6 Ag 3.13-3.15
Hg 0.3298 0.6702 0.0000  4 Hg 3.00-3.25, 2 Er 3.11, 6 Ag 3.13-3.15
Hg 0.6702 0.3298 0.0000  4 Hg 3.00-3.25, 2 Er 3.11, 6 Ag 3.13-3.15
Hg 0.6702 0.6702 0.3403  4 Hg 3.00-3.25, 2 Er 3.11, 6 Ag 3.13-3.15

Summary:
Magnetic moment   0.00 μB per atom
Fermi-level density of states   3.391 states/eV/f.u.
ΔH_f (0 K)   -0.068 eV/atom

***

Record 7
A plane-wave DFT calculation with GGA-PBE was carried out for crystalline KTlInHg2 at its relaxed geometry.

a = 6.3099 Å, b = 7.4247 Å, c = 6.7607 Å
α = 90.00°, β = 90.00°, γ = 90.00°
Last column: nearest neighbours and their distance in Å.
Positions (direct):
K 0.2500 0.0000 0.2476  8 Hg 3.51-3.72, 2 Tl 3.89
K 0.7500 0.0000 0.7524  8 Hg 3.51-3.72, 2 Tl 3.89
Tl 0.2500 0.5000 0.4181  2 Hg 3.12, 2 In 3.24, 2 Tl 3.34
Tl 0.7500 0.5000 0.5819  2 Hg 3.12, 2 In 3.24, 2 Tl 3.34
In 0.0000 0.5000 0.0000  2 In 3.15, 4 Hg 3.18, 2 Tl 3.24
In 0.5000 0.5000 0.0000  2 In 3.15, 4 Hg 3.18, 2 Tl 3.24
Hg 0.2500 0.2068 0.7493  1 Hg 3.07, 1 Tl 3.12, 2 In 3.18
Hg 0.2500 0.7932 0.7493  1 Hg 3.07, 1 Tl 3.12, 2 In 3.18
Hg 0.7500 0.2068 0.2507  1 Hg 3.07, 1 Tl 3.12, 2 In 3.18
Hg 0.7500 0.7932 0.2507  1 Hg 3.07, 1 Tl 3.12, 2 In 3.18

Summary:
Magnetic moment   0.00 μB per atom
Fermi-level density of states   2.348 states/eV/f.u.
ΔH_f (0 K)   -0.134 eV/atom
Excess energy over the best structure of this formula in the dataset   0 kJ/mol of formula units

***

Record 8
A plane-wave DFT calculation with GGA-PBE was carried out for crystalline Cs2RbLi at its relaxed geometry.

a = 14.3688 Å, b = 14.3688 Å, c = 14.3688 Å
α = 21.38°, β = 21.38°, γ = 21.38°
Last column: nearest neighbours and their distance in Å.
Positions (direct):
Cs 0.0000 0.0000 0.0000  3 Li 4.11
Cs 0.2037 0.2037 0.2037  3 Li 4.11
Rb 0.7681 0.7681 0.7681  6 Cs 5.26-5.29, 6 Rb 5.33
Li 0.6018 0.6018 0.6018  6 Cs 4.11

Summary:
Magnetic moment   0.00 μB per atom
Fermi-level density of states   3.519 states/eV/f.u.
ΔH_f (0 K)   0.151 eV/atom
Excess energy over the best structure of this formula in the dataset   16 kJ/mol of formula units

***

Record 9
A plane-wave DFT calculation with GGA-PBE was carried out for crystalline Zn3Cd2Au2 at its relaxed geometry.

a = 5.2769 Å, b = 5.2769 Å, c = 6.6723 Å
α = 109.40°, β = 109.40°, γ = 48.72°
Last column: nearest neighbours and their distance in Å.
Positions (direct):
Zn 0.0000 0.0000 0.0000  4 Au 2.67, 2 Zn 2.72
Zn 0.1154 0.1154 0.4371  2 Zn 2.64-2.72, 3 Au 2.65-2.73
Zn 0.8846 0.8846 0.5629  2 Zn 2.64-2.72, 3 Au 2.65-2.73
Cd 0.3531 0.3531 0.2403  4 Au 2.88-3.00, 4 Zn 3.00-3.18
Cd 0.6469 0.6469 0.7597  4 Au 2.88-3.00, 4 Zn 3.00-3.18
Au 0.3568 0.3568 0.7933  5 Zn 2.65-2.73, 3 Cd 2.88-2.92
Au 0.6432 0.6432 0.2067  5 Zn 2.65-2.73, 3 Cd 2.88-2.92

Summary:
Magnetic moment   0.00 μB per atom
Fermi-level density of states   1.586 states/eV/f.u.
ΔH_f (0 K)   -0.134 eV/atom
Excess energy over the best structure of this formula in the dataset   0 kJ/mol of formula units

***

Record 10
A plane-wave DFT calculation with GGA-PBE was carried out for crystalline MnV2NiBr at its relaxed geometry.

a = 4.3078 Å, b = 4.3078 Å, c = 4.5474 Å
α = 90.00°, β = 90.00°, γ = 90.00°
Last column: nearest neighbours and their distance in Å.
Positions (direct):
Mn 0.0000 0.0000 0.0000  4 V 2.15, 2 Br 2.27
V 0.0000 0.5000 0.0000  2 Mn 2.15
V 0.5000 0.0000 0.0000  2 Mn 2.15
Ni 0.5000 0.5000 0.5000  4 Br 3.05, 8 V 3.13
Br 0.0000 0.0000 0.5000  2 Mn 2.27

Summary:
Raw formation energy   1256 meV per atom
Magnetic moment   0.00 μB per atom
Fermi-level density of states   7.408 states/eV/f.u.

***

Record 11
A plane-wave DFT calculation with GGA-PBE was carried out for crystalline K5As at its relaxed geometry.

a = 7.7913 Å, b = 7.7913 Å, c = 11.0346 Å
α = 114.06°, β = 114.06°, γ = 33.19°
Last column: nearest neighbours and their distance in Å.
Positions (direct):
K 0.0000 0.0000 0.0000  12 K 4.45-4.82
K 0.3482 0.3482 0.2526  2 As 3.50, 2 K 3.61-3.73
K 0.3848 0.3848 0.6090  2 As 3.33, 2 K 3.61-3.73
K 0.6152 0.6152 0.3910  2 As 3.33, 2 K 3.61-3.73
K 0.6518 0.6518 0.7474  2 As 3.50, 2 K 3.61-3.73
As 0.0000 0.0000 0.5000  8 K 3.33-3.50

Summary:
Magnetic moment   0.00 μB per atom
Fermi-level density of states   3.743 states/eV/f.u.
ΔH_f (0 K)   -0.120 eV/atom
Excess energy over the best structure of this formula in the dataset   0 kJ/mol of formula units

***

Record 12
A plane-wave DFT calculation with GGA-PBE was carried out for crystalline Ac7Pr2Sm2 at its relaxed geometry.

a = 7.4244 Å, b = 7.4244 Å, c = 10.1565 Å
α = 90.06°, β = 90.06°, γ = 58.64°
Last column: nearest neighbours and their distance in Å.
Positions (direct):
Ac 0.0000 0.0000 0.0000  2 Sm 3.47
Ac 0.9999 0.4995 0.3129  5 Ac 3.63-3.95, 2 Sm 3.67, 2 Pr 3.75
Ac 0.0001 0.5005 0.6871  5 Ac 3.63-3.95, 2 Sm 3.67, 2 Pr 3.75
Ac 0.4995 0.9999 0.3129  5 Ac 3.63-3.95, 2 Sm 3.67, 2 Pr 3.75
Ac 0.4998 0.4998 0.1815  2 Sm 3.52, 1 Ac 3.69, 2 Pr 3.71
Ac 0.5002 0.5002 0.8185  2 Sm 3.52, 1 Ac 3.69, 2 Pr 3.71
Ac 0.5005 0.0001 0.6871  5 Ac 3.63-3.95, 2 Sm 3.67, 2 Pr 3.75
Pr 0.2492 0.7508 0.5000  2 Pr 3.62-3.65, 6 Ac 3.71-3.75
Pr 0.7508 0.2492 0.5000  2 Pr 3.62-3.65, 6 Ac 3.71-3.75
Sm 0.2682 0.2682 0.9996  7 Ac 3.47-3.67, 2 Sm 3.67
Sm 0.7318 0.7318 0.0004  7 Ac 3.47-3.67, 2 Sm 3.67

Summary:
Magnetic moment   0.00 μB per atom
Fermi-level density of states   19.363 states/eV/f.u.
ΔH_f (0 K)   0.311 eV/atom
Excess energy over the best structure of this formula in the dataset   232 kJ/mol of formula units